A relaxed NbCo2PdN crystal, computed with PBE-GGA.

a b c (Å): 3.8408 3.8408 4.1703
angles (deg): 90.00 90.00 90.00
Last column: nearest neighbours and their distance in Å.
Space group P4/mmm (No. 123)
Asymmetric unit:
Nb (0.0000, 0.0000, 0.0000)  2 N 2.09
Co (0.0000, 0.5000, 0.5000)  2 N 1.92
Pd (0.5000, 0.5000, 0.0000)  4 Nb 2.72, 8 Co 2.83
N (0.0000, 0.0000, 0.5000)  4 Co 1.92, 2 Nb 2.09

## Properties
- N(E_F): 4.8 states/eV per cell
- Calculated volume: 12.3 A^3/atom
- Formation energy from raw total energies: -0.2284 eV/atom

***

A relaxed Nb2CoPdN crystal, computed with PBE-GGA.

a b c (Å): 4.2611 4.2611 3.7752
angles (deg): 90.00 90.00 90.00
Last column: nearest neighbours and their distance in Å.
Space group P4/mmm (No. 123)
Asymmetric unit:
Nb (0.0000, 0.5000, 0.0000)  2 N 2.13
Co (0.0000, 0.0000, 0.5000)  2 N 1.89
Pd (0.5000, 0.5000, 0.5000)  8 Nb 2.85, 4 Co 3.01
N (0.0000, 0.0000, 0.0000)  2 Co 1.89

## Properties
- N(E_F): 4.2 states/eV per cell
- Calculated volume: 13.7 A^3/atom
- Formation energy from raw total energies: -0.4466 eV/atom

***

A relaxed Pm2NbCoN5 crystal, computed with PBE-GGA.

a b c (Å): 3.2800 14.2103 10.0554
angles (deg): 90.00 90.00 90.00
Last column: nearest neighbours and their distance in Å.
Space group Cmc2_1 (No. 36)
Asymmetric unit:
Pm (0.0000, 0.1173, 0.0000)  7 N 2.48-2.65
Pm (0.0000, 0.1227, 0.6312)  6 N 2.44-2.58
Nb (0.0000, 0.2061, 0.3312)  3 N 1.91-2.12
Co (0.0000, 0.4492, 0.7470)  4 N 1.78-1.90
N (0.0000, 0.0316, 0.3096)  2 Co 1.78
N (0.0000, 0.3018, 0.9639)  2 Nb 2.12
N (0.0000, 0.3235, 0.6826)  1 Co 1.90
N (0.0000, 0.3396, 0.3123)  1 Nb 1.91
N (0.0000, 0.4994, 0.0816)  1 Co 1.82

## Properties
- N(E_F): 6.5 states/eV per cell
- Calculated volume: 13.0 A^3/atom
- Formation energy from raw total energies: -0.8237 eV/atom